Material: Ti3PtF
Method: DFT, meta-GGA SCAN
State: single point on PBEsol structure

Properties
spin magnetization: 3.753 μB/f.u.
E: -122.070 eV per cell
ΔE_f (raw): -0.25 eV/f.u.

The structure in CIF format:
```
data_Ti3PtF
_cell_length_a 4.811
_cell_length_b 4.811
_cell_length_c 4.811
_cell_angle_alpha 90.00
_cell_angle_beta 90.00
_cell_angle_gamma 90.00
_symmetry_space_group_name_H-M 'P m -3 m'
_symmetry_Int_Tables_number 221
_symmetry_space_group_name_Hall '-P 4 2 3'
loop_
_atom_site_label
_atom_site_fract_x
_atom_site_fract_y
_atom_site_fract_z
Ti1 0.000 0.000 0.500
Pt1 0.000 0.000 0.000
F1 0.500 0.500 0.500
```

Material: TmZn
Method: DFT, meta-GGA SCAN
State: single point on PBEsol structure

Properties
spin magnetization: 0.001 μB/f.u.
formation enthalpy at 0 K: -439 meV per atom
E: -66.225 eV per cell

The structure in CIF format:
```
data_TmZn
_cell_length_a 3.459
_cell_length_b 3.459
_cell_length_c 3.459
_cell_angle_alpha 90.00
_cell_angle_beta 90.00
_cell_angle_gamma 90.00
_symmetry_space_group_name_H-M 'P m -3 m'
_symmetry_Int_Tables_number 221
_symmetry_space_group_name_Hall '-P 4 2 3'
loop_
_atom_site_label
_atom_site_fract_x
_atom_site_fract_y
_atom_site_fract_z
Tm1 0.000 0.000 0.000
Zn1 0.500 0.500 0.500
```

Material: HgRu2S
Method: DFT, meta-GGA SCAN
State: single point on PBEsol structure

Properties
spin magnetization: 0.000 μB/f.u.
E: -577.006 eV per cell
ΔE_f (raw): 3.20 eV/f.u.

The structure in CIF format:
```
data_HgRu2S
_cell_length_a 6.183
_cell_length_b 6.183
_cell_length_c 6.183
_cell_angle_alpha 90.00
_cell_angle_beta 90.00
_cell_angle_gamma 90.00
_symmetry_space_group_name_H-M 'F m -3 m'
_symmetry_Int_Tables_number 225
_symmetry_space_group_name_Hall '-F 4 2 3'
loop_
_atom_site_label
_atom_site_fract_x
_atom_site_fract_y
_atom_site_fract_z
Hg1 0.000 0.000 0.000
Ru1 0.250 0.250 0.250
S1 0.000 0.000 0.500
```

Material: BP5Pb6O20
Method: DFT, meta-GGA SCAN
State: single point on PBEsol structure

Properties
spin magnetization: 0.000 μB/f.u.
E: -707.329 eV per cell
ΔE_f (raw): -68.60 eV/f.u.

The structure in CIF format:
```
data_BP5Pb6O20
_cell_length_a 6.968
_cell_length_b 6.968
_cell_length_c 9.772
_cell_angle_alpha 90.00
_cell_angle_beta 90.00
_cell_angle_gamma 90.00
_symmetry_space_group_name_H-M 'P -4'
_symmetry_Int_Tables_number 81
loop_
_symmetry_equiv_pos_as_xyz
'x,y,z'
'y,-x,-z'
'-x,-y,z'
'-y,x,-z'
loop_
_atom_site_label
_atom_site_fract_x
_atom_site_fract_y
_atom_site_fract_z
B1 0.000 0.000 0.000
P1 0.165 0.760 0.194
P2 0.500 0.500 0.500
Pb1 0.000 0.500 0.488
Pb2 0.262 0.647 0.824
O1 0.012 0.825 0.082
O2 0.033 0.705 0.312
O3 0.081 0.308 0.767
O4 0.281 0.597 0.126
O5 0.356 0.382 0.412
```

Material: YRu3Br
Method: DFT, meta-GGA SCAN
State: single point on PBEsol structure

Properties
spin magnetization: 1.949 μB/f.u.
E: -147.668 eV per cell
ΔE_f (raw): 4.11 eV/f.u.

The structure in CIF format:
```
data_YRu3Br
_cell_length_a 4.529
_cell_length_b 4.529
_cell_length_c 4.529
_cell_angle_alpha 90.00
_cell_angle_beta 90.00
_cell_angle_gamma 90.00
_symmetry_space_group_name_H-M 'P m -3 m'
_symmetry_Int_Tables_number 221
_symmetry_space_group_name_Hall '-P 4 2 3'
loop_
_atom_site_label
_atom_site_fract_x
_atom_site_fract_y
_atom_site_fract_z
Y1 0.000 0.000 0.000
Ru1 0.000 0.500 0.500
Br1 0.500 0.500 0.500
```

Material: Rb2TaRu
Method: DFT, meta-GGA SCAN
State: single point on PBEsol structure

Properties
spin magnetization: 1.464 μB/f.u.
formation enthalpy at 0 K: 2535 meV per atom
E: -530.998 eV per cell

The structure in CIF format:
```
data_Rb2TaRu
_cell_length_a 7.708
_cell_length_b 7.708
_cell_length_c 7.708
_cell_angle_alpha 90.00
_cell_angle_beta 90.00
_cell_angle_gamma 90.00
_symmetry_space_group_name_H-M 'F m -3 m'
_symmetry_Int_Tables_number 225
_symmetry_space_group_name_Hall '-F 4 2 3'
loop_
_atom_site_label
_atom_site_fract_x
_atom_site_fract_y
_atom_site_fract_z
Rb1 0.250 0.250 0.250
Ta1 0.000 0.000 0.000
Ru1 0.000 0.000 0.500
```

| no. | Fermi-level density of states (states/eV per atom) |
| --- | --- |
| 1 | 0.8803 |
| 2 | 0.7745 |
| 3 | 0.6978 |
| 4 | 0.0000 |
| 5 | 0.7113 |
| 6 | 1.7555 |